Entry 1:
# NaCd2Ag3

NaCd2Ag3 after structural relaxation (PBE-GGA, the Alexandria database).

Cell and atoms, written as POSCAR:
```
NaCd2Ag3
1.0
4.7706 -4.8830 0.0000
4.7706 4.8830 0.0000
0.0000 0.0000 5.7762
Na Cd Ag
2 4 6
Direct
0.2139 0.7861 0.7500
0.7861 0.2139 0.2500
0.2334 0.2334 0.0000
0.2334 0.2334 0.5000
0.7666 0.7666 0.0000
0.7666 0.7666 0.5000
0.0686 0.5789 0.2500
0.4211 0.9314 0.2500
0.4736 0.5264 0.2500
0.5264 0.4736 0.7500
0.5789 0.0686 0.7500
0.9314 0.4211 0.7500
```

Output
Formation energy from the elements, meV per atom: 3
Relative energy among the computed polymorphs, eV/atom: 0.062

***

Entry 2:
# NaCd6Ag3

NaCd6Ag3 after structural relaxation (PBE-GGA, the Alexandria database).

Cell and atoms, written as POSCAR:
```
NaCd6Ag3
1.0
5.8920 -6.4079 0.0000
5.8920 6.4079 0.0000
0.0000 0.0000 5.8218
Na Cd Ag
2 12 6
Direct
0.1979 0.8021 0.5000
0.8021 0.1979 0.0000
0.0727 0.4876 0.7900
0.1959 0.2280 0.5032
0.2018 0.7982 0.0016
0.2280 0.1959 0.0032
0.4268 0.5732 0.6867
0.4876 0.0727 0.2900
0.5124 0.9273 0.7900
0.5732 0.4268 0.1867
0.7720 0.8041 0.5032
0.7982 0.2018 0.5016
0.8041 0.7720 0.0032
0.9273 0.5124 0.2900
0.0001 0.9999 0.2523
0.9999 0.0001 0.7523
0.2533 0.5036 0.2320
0.4964 0.7467 0.2320
0.5036 0.2533 0.7320
0.7467 0.4964 0.7320
```

Output
Formation energy from the elements, meV per atom: 8

***

Entry 3:
# Na6Cd2AgO

Na6Cd2AgO after structural relaxation (PBE-GGA, the Alexandria database).

Cell and atoms, written as POSCAR:
```
Na6Cd2AgO
1.0
6.0154 0.0000 0.0000
1.4975 6.6723 0.0000
1.6082 1.3933 6.5083
Na Cd Ag O
6 2 1 1
Direct
0.1861 0.2775 0.3907
0.2000 0.8820 0.7641
0.2826 0.8201 0.2854
0.7174 0.1799 0.7146
0.8000 0.1180 0.2359
0.8139 0.7225 0.6093
0.1683 0.3574 0.8648
0.8317 0.6426 0.1352
0.5000 0.5000 0.0000
0.0000 0.0000 0.5000
```

Output
DFT total energy, eV/cell: -21.20

***

no.,spin magnetization (μB/atom)
1,0.00
2,0.00
3,0.00